La2Cd after structural relaxation, computed with PBE-GGA.

Calculated values
As for the volume: 33.329 Å³ per atom. Its symmetry is I4_1/amd (141). The total energy is -0.27001 Ry per atom. The calculation puts the formation energy at -0.08 eV per atom.

Structure (POSCAR):
```
La2Cd
1.0
-1.955 1.955 13.079
1.955 -1.955 13.079
1.955 1.955 -13.079
La Cd
4 2
direct
0.303 0.553 0.750
0.447 0.697 0.750
0.553 0.303 0.250
0.697 0.447 0.250
0.125 0.875 0.250
0.875 0.125 0.750
```